PmBi2 | PBE | optimized geometry

Unit cell a=6.4143 b=6.5249 c=9.3571 alpha=90.00 beta=99.48 gamma=90.00
Atoms (fractional coordinates):
Pm  0.0977  0.0000  0.2851
Pm  0.4023  0.5000  0.7149
Pm  0.5977  0.5000  0.2851
Pm  0.9023  0.0000  0.7149
Bi  0.1116  0.5000  0.3649
Bi  0.2500  0.2500  0.0000
Bi  0.2500  0.7500  0.0000
Bi  0.3883  0.0000  0.6351
Bi  0.6116  0.0000  0.3649
Bi  0.7500  0.2500  0.0000
Bi  0.7500  0.7500  0.0000
Bi  0.8884  0.5000  0.6351

The value obtained for the polymorph energy (0 for the lowest one) is 1.98 kJ per mole of atoms. For the total magnetic moment, the calculation gives 0.00 μB per formula unit. The value obtained for the density of states at the Fermi level is 3.99 states/eV per cell. Its space group is No. 12. For the electronic total energy, the calculation gives -4.762 eV/atom.

=====

LiHo4AlZn2 | PBE | optimized geometry

Unit cell a=8.8176 b=8.8176 c=8.8176 alpha=33.37 beta=33.37 gamma=33.37
Atoms (fractional coordinates):
Li  0.0000  0.0000  0.0000
Ho  0.1265  0.1265  0.1265
Ho  0.3768  0.3768  0.3768
Ho  0.6232  0.6232  0.6232
Ho  0.8735  0.8735  0.8735
Al  0.5000  0.5000  0.5000
Zn  0.2526  0.2526  0.2526
Zn  0.7474  0.7474  0.7474

For the total magnetic moment, the calculation gives 0.00 μB per formula unit. The value obtained for the density of states at the Fermi level is 7.70 states/eV per cell. Its space group is No. 166. For the electronic total energy, the calculation gives -3.566 eV/atom.

=====

AcErCuHg | PBE | optimized geometry

Unit cell a=7.5589 b=7.5589 c=7.5589 alpha=90.00 beta=90.00 gamma=90.00
Atoms (fractional coordinates):
Ac  0.0000  0.0000  0.0000
Ac  0.0000  0.5000  0.5000
Ac  0.5000  0.0000  0.5000
Ac  0.5000  0.5000  0.0000
Er  0.0000  0.0000  0.5000
Er  0.0000  0.5000  0.0000
Er  0.5000  0.0000  0.0000
Er  0.5000  0.5000  0.5000
Cu  0.2500  0.2500  0.7500
Cu  0.2500  0.7500  0.2500
Cu  0.7500  0.2500  0.2500
Cu  0.7500  0.7500  0.7500
Hg  0.2500  0.2500  0.2500
Hg  0.2500  0.7500  0.7500
Hg  0.7500  0.2500  0.7500
Hg  0.7500  0.7500  0.2500

For the total magnetic moment, the calculation gives 0.00 μB per formula unit. The value obtained for the density of states at the Fermi level is 6.25 states/eV per cell. Its space group is No. 216. For the electronic total energy, the calculation gives -3.507 eV/atom.

=====

K2PPb | PBE | optimized geometry

Unit cell a=4.2127 b=5.3424 c=12.5937 alpha=90.00 beta=90.00 gamma=90.00
Atoms (fractional coordinates):
K  0.0000  0.0000  0.0000
K  0.0000  0.5000  0.5000
K  0.5000  0.0000  0.2938
K  0.5000  0.5000  0.7938
P  0.0000  0.0000  0.7323
P  0.0000  0.5000  0.2323
Pb  0.5000  0.0000  0.5974
Pb  0.5000  0.5000  0.0974

The value obtained for the polymorph energy (0 for the lowest one) is 0.00 kJ per mole of atoms. For the total magnetic moment, the calculation gives 0.00 μB per formula unit. The value obtained for the density of states at the Fermi level is 4.87 states/eV per cell. Its space group is No. 38. For the electronic total energy, the calculation gives -3.063 eV/atom.

=====

Pm3GdIr | PBE | optimized geometry

Unit cell a=5.5809 b=5.5809 c=5.5809 alpha=90.00 beta=90.00 gamma=90.00
Atoms (fractional coordinates):
Pm  0.0000  0.0000  0.5000
Pm  0.0000  0.5000  0.0000
Pm  0.5000  0.0000  0.0000
Gd  0.5000  0.5000  0.5000
Ir  0.0000  0.0000  0.0000

For the total magnetic moment, the calculation gives 8.13 μB per formula unit. The value obtained for the density of states at the Fermi level is 8.94 states/eV per cell. Its space group is No. 221. For the electronic total energy, the calculation gives -7.617 eV/atom.

=====

Sr2TeRhC | PBE | optimized geometry

Unit cell a=5.8744 b=5.8744 c=3.9241 alpha=90.00 beta=90.00 gamma=90.00
Atoms (fractional coordinates):
Sr  0.0000  0.5000  0.0000
Sr  0.5000  0.0000  0.0000
Te  0.0000  0.0000  0.5000
Rh  0.5000  0.5000  0.0000
C  0.5000  0.5000  0.5000

The calculation puts the uncorrected formation energy at -0.348 eV per atom. The value obtained for the polymorph energy (0 for the lowest one) is 18.06 kJ per mole of atoms. For the total magnetic moment, the calculation gives 0.00 μB per formula unit. The value obtained for the density of states at the Fermi level is 2.70 states/eV per cell. Its space group is No. 123. For the electronic total energy, the calculation gives -4.965 eV/atom.

=====

CaNiH3 | PBE | optimized geometry

Unit cell a=3.5242 b=3.5242 c=3.5242 alpha=90.00 beta=90.00 gamma=90.00
Atoms (fractional coordinates):
Ca  0.0000  0.0000  0.0000
Ni  0.5000  0.5000  0.5000
H  0.0000  0.5000  0.5000
H  0.5000  0.0000  0.5000
H  0.5000  0.5000  0.0000

For the total magnetic moment, the calculation gives 0.00 μB per formula unit. The value obtained for the density of states at the Fermi level is 0.89 states/eV per cell. Its space group is No. 221. For the electronic total energy, the calculation gives -4.047 eV/atom.

=====

DyCuSe2 | PBE | optimized geometry

Unit cell a=4.2618 b=4.2618 c=22.5241 alpha=90.00 beta=90.00 gamma=120.00
Atoms (fractional coordinates):
Dy  0.0000  0.0000  0.0000
Dy  0.3333  0.6667  0.6667
Dy  0.6667  0.3333  0.3333
Cu  0.0000  0.0000  0.5000
Cu  0.3333  0.6667  0.1667
Cu  0.6667  0.3333  0.8333
Se  0.0000  0.0000  0.3996
Se  0.0000  0.0000  0.6004
Se  0.3333  0.6667  0.0663
Se  0.3333  0.6667  0.2670
Se  0.6667  0.3333  0.7330
Se  0.6667  0.3333  0.9337

The calculation puts the uncorrected formation energy at -1.119 eV per atom. For the total magnetic moment, the calculation gives 0.00 μB per formula unit. The value obtained for the density of states at the Fermi level is 0.00 states/eV per cell. Its space group is No. 166. For the electronic total energy, the calculation gives -5.035 eV/atom.

=====

NdAlGa2Ni4 | PBE | optimized geometry

Unit cell a=8.6915 b=8.6915 c=8.6915 alpha=27.16 beta=27.16 gamma=27.16
Atoms (fractional coordinates):
Nd  0.0000  0.0000  0.0000
Al  0.5000  0.5000  0.5000
Ga  0.2391  0.2391  0.2391
Ga  0.7609  0.7609  0.7609
Ni  0.1344  0.1344  0.1344
Ni  0.4065  0.4065  0.4065
Ni  0.5935  0.5935  0.5935
Ni  0.8656  0.8656  0.8656

For the total magnetic moment, the calculation gives 0.00 μB per formula unit. The value obtained for the density of states at the Fermi level is 4.89 states/eV per cell. Its space group is No. 166. For the electronic total energy, the calculation gives -5.196 eV/atom.

=====

TbMg2Zr | PBE | optimized geometry

Unit cell a=3.2170 b=3.2170 c=33.4402 alpha=90.00 beta=90.00 gamma=120.00
Atoms (fractional coordinates):
Tb  0.0000  0.0000  0.0000
Tb  0.3333  0.6667  0.6667
Tb  0.6667  0.3333  0.3333
Mg  0.0000  0.0000  0.2464
Mg  0.0000  0.0000  0.7536
Mg  0.3333  0.6667  0.4202
Mg  0.3333  0.6667  0.9131
Mg  0.6667  0.3333  0.0869
Mg  0.6667  0.3333  0.5798
Zr  0.0000  0.0000  0.5000
Zr  0.3333  0.6667  0.1667
Zr  0.6667  0.3333  0.8333

The value obtained for the polymorph energy (0 for the lowest one) is 6.92 kJ per mole of atoms. For the total magnetic moment, the calculation gives 0.00 μB per formula unit. The value obtained for the density of states at the Fermi level is 11.16 states/eV per cell. Its space group is No. 166. For the electronic total energy, the calculation gives -3.997 eV/atom.

=====

La2In5Pd2Rh | PBE | optimized geometry

Unit cell a=10.4068 b=10.4068 c=4.2541 alpha=90.00 beta=90.00 gamma=90.00
Atoms (fractional coordinates):
La  0.1829  0.3171  0.0000
La  0.3171  0.8171  0.0000
La  0.6829  0.1829  0.0000
La  0.8171  0.6829  0.0000
In  0.0000  0.5000  0.5000
In  0.0525  0.8038  0.5000
In  0.1962  0.0525  0.5000
In  0.3038  0.5525  0.5000
In  0.4475  0.3038  0.5000
In  0.5000  0.0000  0.5000
In  0.5525  0.6962  0.5000
In  0.6962  0.4475  0.5000
In  0.8038  0.9475  0.5000
In  0.9475  0.1962  0.5000
Pd  0.1194  0.6194  0.0000
Pd  0.3806  0.1194  0.0000
Pd  0.6194  0.8806  0.0000
Pd  0.8806  0.3806  0.0000
Rh  0.0000  0.0000  0.0000
Rh  0.5000  0.5000  0.0000

For the total magnetic moment, the calculation gives 0.00 μB per formula unit. The value obtained for the density of states at the Fermi level is 17.24 states/eV per cell. Its space group is No. 127. For the electronic total energy, the calculation gives -4.631 eV/atom.

=====

AcTlBi | PBE | optimized geometry

Unit cell a=6.2756 b=8.9167 c=9.1872 alpha=90.00 beta=122.31 gamma=90.00
Atoms (fractional coordinates):
Ac  0.1652  0.0282  0.2543
Ac  0.1652  0.4718  0.7543
Ac  0.8348  0.5282  0.2457
Ac  0.8348  0.9718  0.7457
Tl  0.4308  0.1658  0.0194
Tl  0.4308  0.3342  0.5194
Tl  0.5692  0.6658  0.4806
Tl  0.5692  0.8342  0.9806
Bi  0.1894  0.6854  0.0693
Bi  0.1894  0.8146  0.5693
Bi  0.8106  0.1854  0.4307
Bi  0.8106  0.3146  0.9307

The value obtained for the polymorph energy (0 for the lowest one) is 0.00 kJ per mole of atoms. For the total magnetic moment, the calculation gives 0.00 μB per formula unit. The value obtained for the density of states at the Fermi level is 6.67 states/eV per cell. Its space group is No. 14. For the electronic total energy, the calculation gives -3.895 eV/atom.